#one
Entry from Alexandria via LeMat-Bulk: crystalline Pr2GaCu3 at its relaxed geometry (PBE).

abc: 8.195 8.195 8.195
angles: 151.73 150.50 41.32
Fractional coordinates of all 6 atoms:
Pr 0.000 0.000 0.000
Pr 0.757 0.257 0.500
Ga 0.590 0.590 0.000
Cu 0.172 0.672 0.500
Cu 0.334 0.834 0.500
Cu 0.424 0.424 0.000

Computed properties:
**Crystal system**: orthorhombic
**Space-group type**: Imm2, No. 44


#two
Entry from Alexandria via LeMat-Bulk: crystalline Pr2GaCu3 at its relaxed geometry (PBE).

abc: 3.740 4.405 7.618
angles: 90.00 90.00 90.00
Fractional coordinates of all 6 atoms:
Pr 0.000 0.000 0.000
Pr 0.000 0.500 0.482
Ga 0.500 0.500 0.819
Cu 0.500 0.000 0.327
Cu 0.500 0.000 0.660
Cu 0.500 0.500 0.155

Computed properties:
**Crystal system**: orthorhombic
**Space-group type**: Pmm2, No. 25


Which structure loses on stability? #one does.


#one
Entry from Alexandria via LeMat-Bulk: crystalline PrGaCu3 at its relaxed geometry (PBE).

abc: 6.564 6.564 6.564
angles: 135.05 96.22 100.60
Fractional coordinates of all 10 atoms:
Pr 0.294 0.044 0.250
Pr 0.706 0.956 0.750
Ga 0.000 0.500 0.500
Ga 0.500 0.500 0.000
Cu 0.079 0.329 0.750
Cu 0.235 0.000 0.735
Cu 0.235 0.500 0.235
Cu 0.765 0.000 0.265
Cu 0.765 0.500 0.765
Cu 0.921 0.671 0.250

Computed properties:
**Crystal system**: orthorhombic
**Space-group type**: Imma, No. 74


#two
Entry from Alexandria via LeMat-Bulk: crystalline PrGaCu3 at its relaxed geometry (PBE).

abc: 5.158 6.067 5.825
angles: 90.00 105.09 90.00
Fractional coordinates of all 10 atoms:
Pr 0.225 0.250 0.220
Pr 0.775 0.750 0.780
Ga 0.184 0.750 0.397
Ga 0.816 0.250 0.603
Cu 0.257 0.037 0.716
Cu 0.257 0.463 0.716
Cu 0.357 0.750 0.047
Cu 0.643 0.250 0.953
Cu 0.743 0.537 0.284
Cu 0.743 0.963 0.284

Computed properties:
**Crystal system**: monoclinic
**Space-group type**: P2_1/m, No. 11


Which structure loses on stability? #one does.


#one
Entry from Alexandria via LeMat-Bulk: crystalline GaCu3Pt6 at its relaxed geometry (PBE).

abc: 8.383 3.964 8.785
angles: 90.00 94.36 90.00
Fractional coordinates of all 20 atoms:
Ga 0.066 0.250 0.389
Ga 0.934 0.750 0.611
Cu 0.252 0.250 0.997
Cu 0.344 0.750 0.804
Cu 0.446 0.250 0.603
Cu 0.554 0.750 0.397
Cu 0.656 0.250 0.196
Cu 0.748 0.750 0.003
Pt 0.051 0.750 0.899
Pt 0.141 0.250 0.689
Pt 0.160 0.750 0.198
Pt 0.258 0.750 0.504
Pt 0.367 0.250 0.303
Pt 0.457 0.750 0.099
Pt 0.543 0.250 0.901
Pt 0.633 0.750 0.697
Pt 0.742 0.250 0.496
Pt 0.840 0.250 0.802
Pt 0.859 0.750 0.311
Pt 0.949 0.250 0.101

Computed properties:
**Crystal system**: monoclinic
**Space-group type**: P2_1/m, No. 11


#two
Entry from Alexandria via LeMat-Bulk: crystalline GaCu3Pt6 at its relaxed geometry (PBE).

abc: 7.001 6.018 9.965
angles: 90.00 133.77 90.00
Fractional coordinates of all 20 atoms:
Ga 0.000 0.000 0.000
Ga 0.000 0.500 0.500
Cu 0.203 0.211 0.755
Cu 0.203 0.289 0.255
Cu 0.500 0.000 0.500
Cu 0.500 0.500 0.000
Cu 0.797 0.711 0.745
Cu 0.797 0.789 0.245
Pt 0.097 0.129 0.442
Pt 0.097 0.371 0.942
Pt 0.277 0.629 0.441
Pt 0.277 0.871 0.941
Pt 0.451 0.642 0.250
Pt 0.451 0.858 0.750
Pt 0.549 0.142 0.250
Pt 0.549 0.358 0.750
Pt 0.723 0.129 0.059
Pt 0.723 0.371 0.559
Pt 0.903 0.629 0.058
Pt 0.903 0.871 0.558

Computed properties:
**Crystal system**: monoclinic
**Space-group type**: P2_1/c, No. 14


Which structure loses on stability? #two does.


#one
Entry from Alexandria via LeMat-Bulk: crystalline Ga3CuPt at its relaxed geometry (PBE).

abc: 8.559 4.780 10.033
angles: 90.00 124.68 90.00
Fractional coordinates of all 20 atoms:
Ga 0.064 0.143 0.155
Ga 0.064 0.357 0.655
Ga 0.334 0.685 0.165
Ga 0.334 0.815 0.665
Ga 0.385 0.215 0.005
Ga 0.385 0.285 0.505
Ga 0.615 0.715 0.495
Ga 0.615 0.785 0.995
Ga 0.666 0.185 0.335
Ga 0.666 0.315 0.835
Ga 0.936 0.643 0.345
Ga 0.936 0.857 0.845
Cu 0.058 0.141 0.428
Cu 0.058 0.359 0.928
Cu 0.942 0.641 0.072
Cu 0.942 0.859 0.572
Pt 0.260 0.723 0.877
Pt 0.260 0.777 0.377
Pt 0.740 0.223 0.623
Pt 0.740 0.277 0.123

Computed properties:
**Crystal system**: monoclinic
**Space-group type**: P2_1/c, No. 14


#two
Entry from Alexandria via LeMat-Bulk: crystalline Ga3CuPt at its relaxed geometry (PBE).

abc: 4.834 4.834 4.834
angles: 90.00 90.00 90.00
Fractional coordinates of all 5 atoms:
Ga 0.000 0.000 0.500
Ga 0.000 0.500 0.000
Ga 0.500 0.000 0.000
Cu 0.500 0.500 0.500
Pt 0.000 0.000 0.000

Computed properties:
**Crystal system**: cubic
**Space-group type**: Pm-3m, No. 221


Which structure loses on stability? #two does.


#one
Entry from Alexandria via LeMat-Bulk: crystalline GaCu4Pt at its relaxed geometry (PBE).

abc: 4.199 4.199 5.146
angles: 90.40 90.40 60.14
Fractional coordinates of all 6 atoms:
Ga 0.000 0.000 0.000
Cu 0.332 0.332 0.298
Cu 0.335 0.335 0.798
Cu 0.665 0.665 0.202
Cu 0.668 0.668 0.702
Pt 0.000 0.000 0.500

Computed properties:
**Crystal system**: monoclinic
**Space-group type**: C2/m, No. 12


#two
Entry from Alexandria via LeMat-Bulk: crystalline GaCu4Pt at its relaxed geometry (PBE).

abc: 2.729 3.663 7.900
angles: 90.00 90.17 90.00
Fractional coordinates of all 6 atoms:
Ga 0.000 0.000 0.000
Cu 0.001 0.000 0.673
Cu 0.500 0.500 0.165
Cu 0.500 0.500 0.835
Cu 0.999 0.000 0.327
Pt 0.500 0.500 0.500

Computed properties:
**Crystal system**: monoclinic
**Space-group type**: P2/m, No. 10


#three
Entry from Alexandria via LeMat-Bulk: crystalline GaCu4Pt at its relaxed geometry (PBE).

abc: 4.828 4.828 4.828
angles: 60.00 60.00 60.00
Fractional coordinates of all 6 atoms:
Ga 0.000 0.000 0.000
Cu 0.125 0.625 0.625
Cu 0.625 0.125 0.625
Cu 0.625 0.625 0.125
Cu 0.625 0.625 0.625
Pt 0.250 0.250 0.250

Computed properties:
**Crystal system**: cubic
**Space-group type**: F-43m, No. 216


Which structure loses on stability? #three does.